Entry 1:
Ba3SrIr | PBE | optimized geometry

Unit cell a=7.852 b=7.899 c=9.905 alpha=75.36 beta=75.55 gamma=111.61
Fractional positions:
Ba  0.571  0.339  0.350
Ba  0.027  0.852  0.359
Ba  0.681  0.950  0.128
Ba  0.147  0.471  0.119
Ba  0.920  0.216  0.610
Ba  0.290  0.087  0.869
Sr  0.807  0.604  0.871
Sr  0.438  0.735  0.607
Ir  0.791  0.088  0.381
Ir  0.933  0.730  0.098

## Properties
energy	-3.412	eV per atom
DFT formation energy	-72	kJ/mol of formula units
density	4.5	g/cm³
M_tot	0.000	μB per cell

Entry 2:
Ba3SrIr | PBE | optimized geometry

Unit cell a=6.285 b=6.285 c=6.285 alpha=90.00 beta=90.00 gamma=90.00
Fractional positions:
Ir  0.500  0.500  0.500
Ba  0.500  0.000  0.000
Ba  0.000  0.500  0.000
Ba  0.000  0.000  0.500
Sr  0.000  0.000  0.000

## Properties
energy	-1.759	eV per atom
DFT formation energy	725	kJ/mol of formula units
density	4.6	g/cm³
M_tot	2.014	μB per cell

Entry 3:
BaSrIr2 | PBE | optimized geometry

Unit cell a=9.439 b=9.439 c=9.439 alpha=21.85 beta=21.85 gamma=21.85
Fractional positions:
Ir  0.998  0.998  0.998
Ir  0.502  0.502  0.502
Sr  0.250  0.250  0.250
Ba  0.750  0.750  0.750

## Properties
energy	-4.723	eV per atom
DFT formation energy	235	kJ/mol of formula units
density	9.9	g/cm³
M_tot	0.000	μB per cell

Entry 4:
BaSr2TeIr | PBE | optimized geometry

Unit cell a=5.749 b=5.749 c=5.980 alpha=90.00 beta=90.00 gamma=90.00
Fractional positions:
Sr  0.000  0.500  0.000
Sr  0.500  0.000  0.000
Te  0.500  0.500  0.500
Ir  0.000  0.000  0.000
Ba  0.000  0.000  0.500

## Properties
energy	-4.016	eV per atom
density	5.3	g/cm³
formation energy from raw total energies	-54	kJ per mole of atoms
M_tot	0.000	μB per cell

Entry 5:
BaSrV2Ir | PBE | optimized geometry

Unit cell a=4.986 b=5.733 c=4.986 alpha=90.00 beta=90.00 gamma=90.00
Fractional positions:
Ir  0.000  0.000  0.000
Ba  0.500  0.500  0.500
V  0.500  0.000  0.000
V  0.000  0.000  0.500
Sr  0.000  0.500  0.000

## Properties
energy	-5.628	eV per atom
DFT formation energy	247	kJ/mol of formula units
density	6.0	g/cm³
M_tot	5.001	μB per cell

Entry 6:
Ba2SrIrW | PBE | optimized geometry

Unit cell a=6.261 b=4.919 c=6.261 alpha=90.00 beta=90.00 gamma=90.00
Fractional positions:
Ba  0.500  0.000  0.000
Ba  0.000  0.000  0.500
Sr  0.500  0.500  0.500
W  0.000  0.500  0.000
Ir  0.000  0.000  0.000

## Properties
energy	-4.858	eV per atom
DFT formation energy	294	kJ/mol of formula units
density	6.4	g/cm³
M_tot	2.122	μB per cell

Entry 7:
BaSrZn2Ir | PBE | optimized geometry

Unit cell a=5.507 b=7.318 c=5.507 alpha=90.00 beta=90.00 gamma=90.00
Fractional positions:
Zn  0.000  0.000  0.500
Zn  0.500  0.000  0.000
Ba  0.000  0.500  0.000
Sr  0.000  0.000  0.000
Ir  0.500  0.500  0.500

## Properties
energy	-1.526	eV per atom
DFT formation energy	713	kJ/mol of formula units
density	4.1	g/cm³
M_tot	0.556	μB per cell

Entry 8:
BaSr2ZnIr | PBE | optimized geometry

Unit cell a=5.828 b=5.828 c=6.063 alpha=90.00 beta=90.00 gamma=90.00
Fractional positions:
Zn  0.500  0.500  0.500
Sr  0.500  0.000  0.000
Sr  0.000  0.500  0.000
Ba  0.000  0.000  0.500
Ir  0.000  0.000  0.000

## Properties
energy	-3.108	eV per atom
DFT formation energy	-12	kJ/mol of formula units
density	4.6	g/cm³
M_tot	0.000	μB per cell

Which value of M_tot does entry 1 give?
0.000 μB per cell